# LaEr2In

LaEr2In after structural relaxation (GGA-PBE, Alexandria).

Structure (POSCAR):
```
LaEr2In
1.0
-1.238 -0.931 -3.264
-3.024 -1.275 1.510
-3.935 8.297 -0.874
Er In La
2 1 1
direct
0.000 0.000 0.781
0.000 0.000 0.219
0.500 0.500 0.000
0.500 0.500 0.500
```

Calculated values
* energy of formation from the pure elements: -0.231 eV/atom
* E: -4.429 eV per atom